No. 1
Computed, not measured: an optimized crystal structure of Zr2B2Ru at the GGA-PBEsol level of DFT.

Output
The formation energy comes out at -817 meV/atom.

CIF file:
```
data_Zr2B2Ru
_chemical_formula_sum 'Zr4 B4 Ru2'
_cell_length_a 6.121
_cell_length_b 6.121
_cell_length_c 3.432
_cell_angle_alpha 90.00
_cell_angle_beta 90.00
_cell_angle_gamma 90.00
_space_group_name_H-M_alt 'P 4/m b m'
_space_group_IT_number 127
_space_group_name_Hall '-P 4 2ab'
loop_
_atom_site_label
_atom_site_fract_x
_atom_site_fract_y
_atom_site_fract_z
Zr1 0.181 0.319 0.000
B1 0.106 0.606 0.500
Ru1 0.000 0.000 0.500
```


No. 2
Computed, not measured: an optimized crystal structure of Zr3BRu at the GGA-PBEsol level of DFT.

Output
The formation energy comes out at 1101 meV/atom.

CIF file:
```
data_Zr3BRu
_chemical_formula_sum 'Zr3 B1 Ru1'
_cell_length_a 4.848
_cell_length_b 4.848
_cell_length_c 4.848
_cell_angle_alpha 90.00
_cell_angle_beta 90.00
_cell_angle_gamma 90.00
_space_group_name_H-M_alt 'P m -3 m'
_space_group_IT_number 221
_space_group_name_Hall '-P 4 2 3'
loop_
_atom_site_label
_atom_site_fract_x
_atom_site_fract_y
_atom_site_fract_z
Zr1 0.000 0.000 0.500
B1 0.500 0.500 0.500
Ru1 0.000 0.000 0.000
```


No. 3
Computed, not measured: an optimized crystal structure of ScBS2 at the GGA-PBEsol level of DFT.

Output
The calculation puts the uncorrected formation energy at -0.5504 eV/atom.

CIF file:
```
data_ScBS2
_chemical_formula_sum 'Sc3 B3 S6'
_cell_length_a 3.5276
_cell_length_b 3.5276
_cell_length_c 19.7707
_cell_angle_alpha 90.00
_cell_angle_beta 90.00
_cell_angle_gamma 120.00
_space_group_name_H-M_alt 'R -3 m'
_space_group_IT_number 166
_space_group_name_Hall '-R 3 2"'
loop_
_atom_site_label
_atom_site_fract_x
_atom_site_fract_y
_atom_site_fract_z
Sc1 0.0000 0.0000 0.0000
B1 0.0000 0.0000 0.5000
S1 0.0000 0.0000 0.4123
```


No. 4
Computed, not measured: an optimized crystal structure of B2SeS at the GGA-PBEsol level of DFT.

Output
The calculation puts the uncorrected formation energy at 1.6068 eV/atom. For the offset from the most stable computed form, the calculation gives 1088 meV/atom.

CIF file:
```
data_B2SeS
_chemical_formula_sum 'B8 Se4 S4'
_cell_length_a 5.717
_cell_length_b 5.717
_cell_length_c 5.717
_cell_angle_alpha 90.00
_cell_angle_beta 90.00
_cell_angle_gamma 90.00
_space_group_name_H-M_alt 'F m -3 m'
_space_group_IT_number 225
_space_group_name_Hall '-F 4 2 3'
loop_
_atom_site_label
_atom_site_fract_x
_atom_site_fract_y
_atom_site_fract_z
B1 0.250 0.250 0.250
Se1 0.000 0.000 0.000
S1 0.000 0.000 0.500
```


no.,N(E_F) (states/eV/cell)
1,3.66
2,6.63
3,4.30
4,7.64